K2Cu2IrSe4: optimized geometry, PBE.

a = 7.7359 Å, b = 7.7359 Å, c = 7.5339 Å
α = 110.66°, β = 110.66°, γ = 29.58°
Fractional positions:
K  0.1312  0.1312  0.0613
K  0.8688  0.8688  0.9387
Cu  0.3027  0.3027  0.5063
Cu  0.6973  0.6973  0.4937
Ir  0.0000  0.0000  0.5000
Se  0.1816  0.1816  0.6705
Se  0.4794  0.4794  0.6997
Se  0.5206  0.5206  0.3003
Se  0.8184  0.8184  0.3295

Values from the calculation:
total moment: 0.0 μB per formula unit
uncorrected formation energy: -0.535 eV/atom
calculated total energy: -4.222 eV per atom